[1]
{
  "formula": "KCrRe2",
  "functional": "PBE",
  "state": "relaxed",
  "de_polymorph_mev_per_atom": 230,
  "spacegroup": "Cm",
  "volume_a3_per_cell": 91.1,
  "lattice_angstrom": [[4.8121, 0.0066, -0.0211], [3.9422, 2.7595, -0.0211], [0.8174, 0.2583, 6.8707]],
  "species": ["Re", "Re", "K", "Cr"],
  "frac_coords": [[0.0273, 0.0273, 0.8721], [0.7562, 0.7562, 0.7522], [0.2491, 0.2491, 0.2525], [0.4674, 0.4674, 0.6232]]
}

---

[2]
{
  "formula": "KCr2Re",
  "functional": "PBE",
  "state": "relaxed",
  "de_polymorph_mev_per_atom": 836,
  "spacegroup": "Pmmm",
  "volume_a3_per_cell": 71.6,
  "lattice_angstrom": [[-1.4027, -2.3195, 1.1462], [2.1365, -3.1110, -3.6813], [3.6020, -0.8079, 2.7732]],
  "species": ["K", "Cr", "Cr", "Re"],
  "frac_coords": [[0.5000, 0.0000, 0.5000], [0.5000, 0.5000, 0.0000], [0.0000, 0.0000, 0.0000], [0.0000, 0.5000, 0.5000]]
}

---

| no. | calculated formation energy (eV per atom) |
| --- | --- |
| 1 | 0.99 |
| 2 | 1.63 |